Computed, not measured: an optimized crystal structure of HgIrS2 at the GGA-PBE level of DFT.

Cell: 3.603 6.178 8.080 Å, 95.99 90.00 90.00°
Element x y z (fractional)
Hg1 0.282 0.953 0.228
Hg2 0.282 0.453 0.228
Ir1 0.036 0.204 0.728
Ir2 0.528 0.704 0.728
S1 0.031 0.890 0.874
S2 0.031 0.518 0.581
S3 0.533 0.390 0.874
S4 0.533 0.018 0.582

Results
ρ (g/cm3): 8.48
Total moment (μB/cell): 0.0
Formation energy (no corrections) (meV per atom): -213